Density functional theory data (GGA-PBE) for a geometry-optimized CeHo3S6 structure.

Calculated values
SG: P2_1/m, No. 11
E_form (uncorrected) in eV/atom: -2.070
Calculated density in kg/m3: 5842

Cell and atoms, written as extended XYZ:
```
20
Lattice="3.9710 0.0000 0.0000 0.0000 11.0509 -0.0109 0.0000 3.6337 10.7129" Properties=species:S:1:pos:R:3 pbc="T T T"
Ce 2.9783 8.9927 8.6322
Ce 0.9928 5.6919 2.0699
Ho 2.9783 5.6193 10.6991
Ho 0.9928 9.0653 0.0029
Ho 2.9783 12.8127 7.1367
Ho 0.9928 1.8719 3.5653
Ho 2.9783 8.8007 4.4267
Ho 0.9928 5.8839 6.2753
S 2.9783 14.0400 9.5020
S 0.9928 0.6446 1.2001
S 2.9783 6.0983 8.0292
S 0.9928 8.5863 2.6728
S 2.9783 11.4892 4.7102
S 0.9928 3.1954 5.9918
S 2.9783 6.0859 4.3397
S 0.9928 8.5987 6.3623
S 2.9783 3.4405 2.4367
S 0.9928 11.2441 8.2653
S 2.9783 6.9593 0.3902
S 0.9928 7.7253 10.3119
```